Entry 1:
Entry from Alexandria: a geometry-optimized Ho2BeGeC structure (PBE-GGA).

Results
- formation enthalpy at 0 K (eV/atom) = -0.59

a = 3.720 Å, b = 6.330 Å, c = 7.937 Å
α = 107.94°, β = 90.00°, γ = 90.00°
Fractional positions:
Ge: 0.750 0.323 0.700
Be: 0.250 0.546 0.754
C: 0.750 0.174 0.174
C: 0.250 0.826 0.826
Ho: 0.250 0.215 0.966
Be: 0.750 0.454 0.246
Ge: 0.250 0.677 0.300
Ho: 0.750 0.785 0.034
Ho: 0.750 0.801 0.614
Ho: 0.250 0.199 0.386



Entry 2:
Entry from Alexandria: a geometry-optimized Li2HPdAu structure (PBE-GGA).

Results
- energy relative to the lowest polymorph listed for this composition (eV/atom) = 0.000

a = 4.114 Å, b = 4.114 Å, c = 3.594 Å
α = 90.00°, β = 90.00°, γ = 90.00°
Fractional positions:
Au: 0.500 0.500 0.500
Li: 0.000 0.500 0.000
Pd: 0.000 0.000 0.500
H: 0.000 0.000 0.000
Li: 0.500 0.000 0.000



Entry 3:
Entry from Alexandria: a geometry-optimized Ti6Pd5Au structure (PBE-GGA).

Results
- formation enthalpy at 0 K (eV/atom) = -0.50

a = 8.827 Å, b = 4.005 Å, c = 6.343 Å
α = 71.33°, β = 81.64°, γ = 63.02°
Fractional positions:
Pd: 0.500 0.833 0.334
Pd: 0.500 0.167 0.666
Pd: 0.000 0.332 0.335
Ti: 0.256 0.244 0.000
Pd: 0.500 0.500 0.000
Ti: 0.253 0.915 0.664
Ti: 0.253 0.580 0.336
Pd: 0.000 0.668 0.665
Au: 0.000 0.000 0.000
Ti: 0.747 0.420 0.664
Ti: 0.744 0.756 0.000
Ti: 0.747 0.085 0.336



Entry 4:
Entry from Alexandria: a geometry-optimized La2Al3Cu4Sn structure (PBE-GGA).

Results
- formation enthalpy at 0 K (eV/atom) = -0.40

a = 4.366 Å, b = 4.366 Å, c = 10.297 Å
α = 90.00°, β = 90.00°, γ = 90.00°
Fractional positions:
Al: 0.000 0.500 0.118
Al: 0.000 0.000 0.500
La: 0.000 0.500 0.762
Cu: 0.000 0.000 0.000
Al: 0.500 0.000 0.882
Cu: 0.500 0.500 0.000
Cu: 0.000 0.500 0.358
Sn: 0.500 0.500 0.500
La: 0.500 0.000 0.238
Cu: 0.500 0.000 0.642



Entry 5:
Entry from Alexandria: a geometry-optimized LiTlHgCl6 structure (PBE-GGA).

a = 6.695 Å, b = 6.695 Å, c = 11.923 Å
α = 90.00°, β = 90.00°, γ = 120.00°
Fractional positions:
Cl: 0.008 0.342 0.124
Cl: 0.342 0.008 0.624
Hg: 0.333 0.667 0.750
Li: 0.000 0.000 0.500
Cl: 0.992 0.658 0.876
Cl: 0.658 0.666 0.124
Tl: 0.667 0.333 0.750
Cl: 0.334 0.992 0.124
Cl: 0.008 0.666 0.376
Hg: 0.667 0.333 0.250
Cl: 0.666 0.658 0.624
Li: 0.000 0.000 0.000
Tl: 0.333 0.667 0.250
Cl: 0.658 0.992 0.376
Cl: 0.342 0.334 0.876
Cl: 0.334 0.342 0.376
Cl: 0.666 0.008 0.876
Cl: 0.992 0.334 0.624



Entry 6:
Entry from Alexandria: a geometry-optimized Ca5S2N2 structure (PBE-GGA).

a = 4.623 Å, b = 6.999 Å, c = 7.590 Å
α = 123.18°, β = 90.00°, γ = 109.29°
Fractional positions:
Ca: 0.000 0.000 0.000
Ca: 0.880 0.760 0.495
N: 0.888 0.775 0.193
Ca: 0.647 0.295 0.915
Ca: 0.120 0.240 0.505
S: 0.623 0.246 0.278
N: 0.112 0.225 0.807
S: 0.377 0.754 0.722
Ca: 0.353 0.705 0.085



no.,DFT total energy (eV/cell)
1,-59.4
2,-18.1
3,-82.6
4,-45.5
5,-46.6
6,-47.0